Record 1
Compound: SnCl
Source: Alexandria
Functional: PBE
Structure: optimized geometry

Results
DOS(E_F) in states/eV per cell: 16.66
Energy relative to the elements, uncorrected in eV per atom: 0.068

a = 8.442 Å, b = 8.442 Å, c = 8.442 Å
α = 90.00°, β = 90.00°, γ = 90.00°
Space group Pm-3n (No. 223)
Symmetry-distinct sites (fractional):
Sn: 0.000 0.250 0.500
Cl: 0.000 0.500 0.250

Record 2
Compound: La7Pr12Mg
Source: Alexandria
Functional: PBE
Structure: optimized geometry

Results
DOS(E_F) in states/eV per cell: 96.78
ΔE_f in kJ/mol of atoms: 6.2

a = 13.8842 Å, b = 13.8842 Å, c = 12.8707 Å
α = 90.00°, β = 90.00°, γ = 120.00°
Space group R-3m (No. 166, hexagonal axes)
Symmetry-distinct sites (fractional):
La: 0.0000 0.0000 0.0000
La: 0.0900 0.1801 0.2693
Pr: 0.0000 0.2567 0.5000
Pr: 0.0449 0.5224 0.6159
Mg: 0.0000 0.0000 0.5000

Record 3
Compound: VSn2PN
Source: Alexandria
Functional: PBE
Structure: optimized geometry

Results
DOS(E_F) in states/eV per cell: 6.18
Energy relative to the elements, uncorrected in eV per atom: 0.705

a = 5.028 Å, b = 5.028 Å, c = 3.432 Å
α = 90.00°, β = 90.00°, γ = 90.00°
Space group P4/mmm (No. 123)
Symmetry-distinct sites (fractional):
V: 0.000 0.000 0.000
Sn: 0.000 0.500 0.500
P: 0.500 0.500 0.000
N: 0.500 0.500 0.500